Record 1
Computed, not measured: a geometry-optimized Er4HgAu2 structure at the PBE level of DFT.

## Properties
Calculated volume = 192.6 Å³/f.u.
Total moment = 0.00 μB/atom
Space-group type = R-3m
Formation energy from the elements = -44.1 kJ/mol of atoms

a = 4.7967 Å, b = 4.7967 Å, c = 10.0530 Å
α = 76.20°, β = 76.20°, γ = 60.00°
With the nearest neighbours (Å) after each atom.
Sites, in units of the cell vectors:
Au: 0.8987 0.8987 0.3038  7 Er 2.90-3.14, 1 Hg 2.94
Er: 0.3835 0.3835 0.8494  3 Hg 3.13, 3 Au 3.14
Hg: 0.0000 0.0000 0.0000  2 Au 2.94, 6 Er 3.13
Er: 0.6165 0.6165 0.1506  3 Hg 3.13, 3 Au 3.14
Er: 0.7978 0.7978 0.6066  4 Au 2.90-2.93
Er: 0.2022 0.2022 0.3934  4 Au 2.90-2.93
Au: 0.1013 0.1013 0.6962  7 Er 2.90-3.14, 1 Hg 2.94

Record 2
Computed, not measured: a geometry-optimized ErHgAu structure at the PBE level of DFT.

## Properties
Calculated volume = 67.7 Å³/f.u.
Total moment = 0.00 μB/atom
Space-group type = P6_3/mmc
Formation energy from the elements = -62.5 kJ/mol of atoms

a = 5.0797 Å, b = 5.0797 Å, c = 6.0572 Å
α = 90.00°, β = 90.00°, γ = 119.99°
With the nearest neighbours (Å) after each atom.
Sites, in units of the cell vectors:
Er: 0.3334 0.1666 0.2500  5 Au 2.93-3.03
Au: 0.3333 0.1667 0.7500  5 Er 2.93-3.03
Hg: 0.0000 0.5000 0.0000  2 Hg 3.03, 6 Au 3.30, 6 Er 3.30
Er: 0.6666 0.8334 0.7500  5 Au 2.93-3.03
Hg: 0.0000 0.5000 0.5000  2 Hg 3.03, 6 Au 3.30, 6 Er 3.30
Au: 0.6667 0.8333 0.2500  5 Er 2.93-3.03

Record 3
Computed, not measured: a geometry-optimized ErHgAu structure at the PBE level of DFT.

## Properties
Calculated volume = 71.5 Å³/f.u.
Total moment = 0.00 μB/atom
Space-group type = P6_3/mmc
Formation energy from the elements = -51.6 kJ/mol of atoms

a = 5.2563 Å, b = 5.2563 Å, c = 5.9779 Å
α = 90.00°, β = 90.00°, γ = 120.00°
With the nearest neighbours (Å) after each atom.
Sites, in units of the cell vectors:
Er: 0.3333 0.6667 0.8431  5 Au 2.99-3.03, 3 Hg 3.03
Er: 0.6667 0.3333 0.3431  5 Au 2.99-3.03, 3 Hg 3.03
Au: 0.6667 0.3333 0.8431  5 Er 2.99-3.03, 3 Hg 3.03
Au: 0.3333 0.6667 0.3431  5 Er 2.99-3.03, 3 Hg 3.03
Hg: 0.0000 0.0000 0.8429  2 Hg 2.99, 3 Au 3.03, 3 Er 3.03
Hg: 0.0000 0.0000 0.3429  2 Hg 2.99, 3 Au 3.03, 3 Er 3.03

Record 4
Computed, not measured: a geometry-optimized ErHg2Au structure at the PBE level of DFT.

## Properties
Calculated volume = 103.8 Å³/f.u.
Total moment = 0.00 μB/atom
Space-group type = R-3m
Formation energy from the elements = 14.7 kJ/mol of atoms

a = 3.3848 Å, b = 3.3848 Å, c = 10.6403 Å
α = 80.85°, β = 80.85°, γ = 60.00°
With the nearest neighbours (Å) after each atom.
Sites, in units of the cell vectors:
Er: 0.0000 0.0000 0.0000  2 Hg 2.99
Hg: 0.9047 0.9047 0.2858  3 Au 2.97, 1 Er 2.99
Hg: 0.0953 0.0953 0.7142  3 Au 2.97, 1 Er 2.99
Au: 0.5000 0.5000 0.5000  6 Hg 2.97

Record 5
Computed, not measured: a geometry-optimized Er8Hg2Au structure at the PBE level of DFT.

## Properties
Calculated volume = 304.2 Å³/f.u.
Total moment = 0.00 μB/atom
Space-group type = C2/m
Formation energy from the elements = -29.5 kJ/mol of atoms

a = 5.1164 Å, b = 6.8325 Å, c = 9.2948 Å
α = 102.61°, β = 105.98°, γ = 90.00°
With the nearest neighbours (Å) after each atom.
Sites, in units of the cell vectors:
Er: 0.6598 0.9707 0.3197  1 Au 2.91, 3 Hg 2.98-3.12
Er: 0.3402 0.0293 0.6803  1 Au 2.91, 3 Hg 2.98-3.12
Hg: 0.1888 0.7362 0.3776  5 Er 2.92-3.12
Er: 0.4098 0.5495 0.8196  1 Au 3.13, 6 Er 3.39-3.49, 2 Hg 3.45
Hg: 0.8112 0.2638 0.6224  5 Er 2.92-3.12
Er: 0.9767 0.2317 0.9534  1 Hg 3.01, 2 Au 3.09
Er: 0.2027 0.3191 0.4054  1 Hg 2.92
Er: 0.7973 0.6809 0.5946  1 Hg 2.92
Er: 0.5902 0.4505 0.1804  1 Au 3.13, 6 Er 3.39-3.49, 2 Hg 3.45
Er: 0.0233 0.7683 0.0466  1 Hg 3.01, 2 Au 3.09
Au: 0.5000 0.0000 0.0000  8 Er 2.91-3.13

Record 6
Computed, not measured: a geometry-optimized HoErHgAu structure at the PBE level of DFT.

## Properties
Calculated volume = 96.2 Å³/f.u.
Total moment = 0.00 μB/atom
Space-group type = F-43m
Formation energy from the elements = -64.5 kJ/mol of atoms

a = 5.1436 Å, b = 5.1436 Å, c = 5.1436 Å
α = 60.00°, β = 60.00°, γ = 60.00°
With the nearest neighbours (Å) after each atom.
Sites, in units of the cell vectors:
Hg: 0.5000 0.5000 0.5000  4 Ho 3.15, 4 Er 3.15
Ho: 0.2500 0.2500 0.2500  4 Au 3.15, 4 Hg 3.15
Er: 0.7500 0.7500 0.7500  4 Hg 3.15, 4 Au 3.15
Au: 0.0000 0.0000 0.0000  4 Er 3.15, 4 Ho 3.15

Record 7
Computed, not measured: a geometry-optimized HoErHgAu structure at the PBE level of DFT.

## Properties
Calculated volume = 96.2 Å³/f.u.
Total moment = 0.00 μB/atom
Space-group type = P4mm
Formation energy from the elements = -65.6 kJ/mol of atoms

a = 3.6508 Å, b = 3.6508 Å, c = 7.2174 Å
α = 90.00°, β = 90.00°, γ = 90.00°
With the nearest neighbours (Å) after each atom.
Sites, in units of the cell vectors:
Ho: 0.5000 0.5000 0.5965  4 Au 3.12, 4 Hg 3.20, 1 Er 3.45
Er: 0.5000 0.5000 0.1180  4 Au 3.10, 4 Hg 3.19, 1 Ho 3.45
Au: 0.0000 0.0000 0.3545  4 Er 3.10, 4 Ho 3.12
Hg: 0.0000 0.0000 0.8590  4 Er 3.19, 4 Ho 3.20

Record 8
Computed, not measured: a geometry-optimized Er4InHg2Au structure at the PBE level of DFT.

## Properties
Calculated volume = 197.7 Å³/f.u.
Total moment = 0.00 μB/atom
Space-group type = R-3m
Formation energy from the elements = -54.5 kJ/mol of atoms

a = 5.1998 Å, b = 5.1998 Å, c = 8.9624 Å
α = 73.14°, β = 73.14°, γ = 60.00°
With the nearest neighbours (Å) after each atom.
Sites, in units of the cell vectors:
Er: 0.3805 0.3805 0.8585  1 Au 3.03, 4 Hg 3.11-3.19, 3 In 3.23
Hg: 0.7455 0.7455 0.7636  8 Er 3.11-3.27
Au: 0.5000 0.5000 0.5000  8 Er 3.03-3.15
Er: 0.6195 0.6195 0.1415  1 Au 3.03, 4 Hg 3.11-3.19, 3 In 3.23
Er: 0.1295 0.1295 0.6115  3 Au 3.15, 4 Hg 3.17-3.27, 1 In 3.28
In: 0.0000 0.0000 0.0000  8 Er 3.23-3.28, 6 Hg 3.61
Er: 0.8705 0.8705 0.3885  3 Au 3.15, 4 Hg 3.17-3.27, 1 In 3.28
Hg: 0.2545 0.2545 0.2364  8 Er 3.11-3.27

In order of appearance, uncorrected energy = -28.3; -20.2; -19.5; -7.8; -43.7; -15.4; -15.4; -29.4 eV per cell.
In order of appearance, DOS at the Fermi energy = 1.2871; 0.6608; 0.6056; 0.6505; 0.8080; 0.8129; 0.6697; 0.6998 states/eV/atom.